1.
The following is a meta-GGA SCAN calculation of a PBEsol-optimized structure of Al2OsAu, from the Alexandria database.

a = 3.1376 Å, b = 3.1376 Å, c = 5.8328 Å
α = 90.00°, β = 90.00°, γ = 90.00°
Closest atoms and distances in Å follow each position.
Space group P4/mmm (No. 123)
Unique sites:
Al: 0.0000 0.0000 0.2317 x2  4 Os 2.60, 1 Al 2.70, 4 Au 2.71
Os: 0.5000 0.5000 0.0000 x1  8 Al 2.60
Au: 0.5000 0.5000 0.5000 x1  8 Al 2.71, 2 Os 2.92

Computed properties:
Uncorrected energy ... -159.18 eV for the cell shown
D(E_F) ... 0.6 states/eV/f.u.
Size of the total moment ... 0.000 μB per cell
V ... 14.4 Å³ per atom
Formation energy from the elements ... -0.660 eV/atom

***

2.
The following is a meta-GGA SCAN calculation of a PBEsol-optimized structure of AlOsAu4, from the Alexandria database.

a = 7.4644 Å, b = 7.4644 Å, c = 7.4644 Å
α = 90.00°, β = 90.00°, γ = 90.00°
Closest atoms and distances in Å follow each position.
Space group F-43m (No. 216)
Unique sites:
Al: 0.0000 0.0000 0.0000 x4  12 Au 3.09, 4 Os 3.23
Os: 0.2500 0.2500 0.7500 x4  12 Au 3.09, 4 Al 3.23
Au: 0.1248 0.1248 0.3752 x16  6 Au 2.64

Computed properties:
Uncorrected energy ... -1407.43 eV for the cell shown
D(E_F) ... 3.7 states/eV/f.u.
Size of the total moment ... 0.003 μB per cell
V ... 17.3 Å³ per atom
Formation energy from the elements ... 0.734 eV/atom

***

3.
The following is a meta-GGA SCAN calculation of a PBEsol-optimized structure of AlSnOs2Au, from the Alexandria database.

a = 4.4549 Å, b = 4.4549 Å, c = 4.8182 Å
α = 90.00°, β = 90.00°, γ = 90.00°
Closest atoms and distances in Å follow each position.
Space group P4/mmm (No. 123)
Unique sites:
Al: 0.0000 0.0000 0.0000 x1  4 Os 2.23, 2 Sn 2.41
Sn: 0.0000 0.0000 0.5000 x1  2 Al 2.41
Os: 0.0000 0.5000 0.0000 x2  2 Al 2.23
Au: 0.5000 0.5000 0.5000 x1  4 Sn 3.15, 8 Os 3.28

Computed properties:
Uncorrected energy ... -248.70 eV for the cell shown
D(E_F) ... 3.1 states/eV/f.u.
Size of the total moment ... 1.680 μB per cell
V ... 19.1 Å³ per atom
Formation energy from the elements ... 1.578 eV/atom

***

4.
The following is a meta-GGA SCAN calculation of a PBEsol-optimized structure of AlPAu2, from the Alexandria database.

a = 6.4139 Å, b = 6.4139 Å, c = 6.4139 Å
α = 90.00°, β = 90.00°, γ = 90.00°
Closest atoms and distances in Å follow each position.
Space group F-43m (No. 216)
Unique sites:
Al: 0.0000 0.0000 0.0000 x4  4 Au 2.78, 4 P 2.78
P: 0.2500 0.2500 0.7500 x4  4 Al 2.78, 4 Au 2.78
Au: 0.0000 0.0000 0.5000 x4  4 P 2.78, 4 Au 2.78
Au: 0.2500 0.2500 0.2500 x4  4 Al 2.78, 4 Au 2.78

Computed properties:
Uncorrected energy ... -622.93 eV for the cell shown
D(E_F) ... 0.4 states/eV/f.u.
Size of the total moment ... 0.000 μB per cell
V ... 16.5 Å³ per atom
ΔE to the lowest computed polymorph ... 304 meV per atom
Formation energy from the elements ... 0.183 eV/atom

***

5.
The following is a meta-GGA SCAN calculation of a PBEsol-optimized structure of Al2PAu, from the Alexandria database.

a = 3.3384 Å, b = 3.4712 Å, c = 11.5417 Å
α = 90.00°, β = 90.00°, γ = 90.00°
Closest atoms and distances in Å follow each position.
Space group Imm2 (No. 44)
Unique sites:
Al: 0.0000 0.0000 0.0000 x2  4 P 2.52, 2 Au 2.68
Al: 0.0000 0.5000 0.2265 x2  2 P 2.51, 4 Au 2.65
P: 0.0000 0.0000 0.5636 x2  6 Al 2.51-2.52
Au: 0.0000 0.5000 0.8230 x2  6 Al 2.65-2.68

Computed properties:
Uncorrected energy ... -192.45 eV for the cell shown
D(E_F) ... 0.9 states/eV/f.u.
Size of the total moment ... 0.000 μB per cell
V ... 16.7 Å³ per atom
Formation energy from the elements ... -0.292 eV/atom

***

6.
The following is a meta-GGA SCAN calculation of a PBEsol-optimized structure of AlPAu2, from the Alexandria database.

a = 5.4743 Å, b = 5.4975 Å, c = 4.4982 Å
α = 90.00°, β = 90.00°, γ = 90.00°
Closest atoms and distances in Å follow each position.
Space group Cmmm (No. 65)
Unique sites:
Al: 0.0000 0.0000 0.0000 x2  4 Au 2.63, 4 P 2.74-2.75
P: 0.0000 0.5000 0.0000 x2  4 Au 2.64, 4 Al 2.74-2.75
Au: 0.0000 0.2483 0.5000 x4  2 Al 2.63, 2 P 2.64, 4 Au 2.73-2.77

Computed properties:
Uncorrected energy ... -313.90 eV for the cell shown
D(E_F) ... 1.2 states/eV/f.u.
Size of the total moment ... 0.000 μB per cell
V ... 16.9 Å³ per atom
ΔE to the lowest computed polymorph ... 0 meV per atom
Formation energy from the elements ... -0.121 eV/atom

***

7.
The following is a meta-GGA SCAN calculation of a PBEsol-optimized structure of AlPb2Au, from the Alexandria database.

a = 4.2883 Å, b = 4.1078 Å, c = 5.7758 Å
α = 90.00°, β = 111.23°, γ = 90.00°
Closest atoms and distances in Å follow each position.
Space group Pm (No. 6)
Unique sites:
Al: 0.0000 0.0000 0.0000 x1  2 Au 2.55
Pb: 0.4186 0.5000 0.8386 x1  3 Au 3.00-3.21, 4 Al 3.09-3.10
Pb: 0.7205 0.0000 0.4459 x1  3 Al 2.98-3.23, 4 Au 3.09-3.10
Au: 0.1382 0.5000 0.2808 x1  2 Al 2.55

Computed properties:
Uncorrected energy ... -228.84 eV for the cell shown
D(E_F) ... 1.6 states/eV/f.u.
Size of the total moment ... 0.000 μB per cell
V ... 23.7 Å³ per atom
Formation energy from the elements ... -0.092 eV/atom

***

8.
The following is a meta-GGA SCAN calculation of a PBEsol-optimized structure of AlPbAu2, from the Alexandria database.

a = 3.2261 Å, b = 3.7515 Å, c = 6.6119 Å
α = 90.00°, β = 90.00°, γ = 90.00°
Closest atoms and distances in Å follow each position.
Space group Pmm2 (No. 25)
Unique sites:
Al: 0.0000 0.0000 0.0000 x1  5 Au 2.61-2.66
Pb: 0.5000 0.5000 0.6663 x1  5 Au 3.06-3.19, 2 Pb 3.23, 4 Al 3.31
Au: 0.0000 0.0000 0.3950 x1  1 Al 2.61
Au: 0.5000 0.5000 0.1481 x1  4 Al 2.66, 4 Au 2.96

Computed properties:
Uncorrected energy ... -222.26 eV for the cell shown
D(E_F) ... 1.3 states/eV/f.u.
Size of the total moment ... 0.000 μB per cell
V ... 20.0 Å³ per atom
ΔE to the lowest computed polymorph ... 190 meV per atom
Formation energy from the elements ... -0.103 eV/atom

***

9.
The following is a meta-GGA SCAN calculation of a PBEsol-optimized structure of AlPbAu2, from the Alexandria database.

a = 3.1550 Å, b = 3.1548 Å, c = 7.7934 Å
α = 90.00°, β = 90.21°, γ = 90.00°
Closest atoms and distances in Å follow each position.
Space group P2/m (No. 10)
Unique sites:
Al: 0.0000 0.0000 0.0000 x1  8 Au 2.69
Pb: 0.0000 0.0000 0.5000 x1  4 Pb 3.15, 8 Au 3.27-3.28
Au: 0.4984 0.5000 0.8074 x2  4 Al 2.69, 1 Au 3.00

Computed properties:
Uncorrected energy ... -222.94 eV for the cell shown
D(E_F) ... 1.4 states/eV/f.u.
Size of the total moment ... 0.000 μB per cell
V ... 19.4 Å³ per atom
ΔE to the lowest computed polymorph ... 18 meV per atom
Formation energy from the elements ... -0.274 eV/atom

***

10.
The following is a meta-GGA SCAN calculation of a PBEsol-optimized structure of AlPbAu2, from the Alexandria database.

a = 4.2689 Å, b = 4.2689 Å, c = 15.9793 Å
α = 90.00°, β = 90.00°, γ = 120.00°
Closest atoms and distances in Å follow each position.
Space group R-3m (No. 166, hexagonal axes)
Unique sites:
Al: 0.0000 0.0000 0.0000 x3  6 Au 2.60
Pb: 0.0000 0.0000 0.5000 x3  6 Au 3.08
Au: 0.0000 0.0000 0.2824 x6  3 Al 2.60

Computed properties:
Uncorrected energy ... -669.05 eV for the cell shown
D(E_F) ... 1.4 states/eV/f.u.
Size of the total moment ... 0.001 μB per cell
V ... 21.0 Å³ per atom
ΔE to the lowest computed polymorph ... 0 meV per atom
Formation energy from the elements ... -0.292 eV/atom

***

11.
The following is a meta-GGA SCAN calculation of a PBEsol-optimized structure of AlPb2Au, from the Alexandria database.

a = 3.6430 Å, b = 3.6430 Å, c = 25.4373 Å
α = 90.00°, β = 90.00°, γ = 120.00°
Closest atoms and distances in Å follow each position.
Space group R-3m (No. 166, hexagonal axes)
Unique sites:
Al: 0.0000 0.0000 0.0000 x3  6 Pb 3.06
Pb: 0.0000 0.0000 0.2462 x6  3 Au 2.92, 3 Al 3.06
Au: 0.0000 0.0000 0.5000 x3  6 Pb 2.92

Computed properties:
Uncorrected energy ... -683.79 eV for the cell shown
D(E_F) ... 1.7 states/eV/f.u.
Size of the total moment ... 0.000 μB per cell
V ... 24.4 Å³ per atom
Formation energy from the elements ... 0.135 eV/atom

***

12.
The following is a meta-GGA SCAN calculation of a PBEsol-optimized structure of Al3PdAu, from the Alexandria database.

a = 4.6508 Å, b = 4.6508 Å, c = 4.6508 Å
α = 90.00°, β = 90.00°, γ = 90.00°
Closest atoms and distances in Å follow each position.
Space group Pm-3m (No. 221)
Unique sites:
Al: 0.0000 0.0000 0.5000 x3  2 Pd 2.33
Pd: 0.0000 0.0000 0.0000 x1  6 Al 2.33
Au: 0.5000 0.5000 0.5000 x1  12 Al 3.29

Computed properties:
Uncorrected energy ... -125.73 eV for the cell shown
D(E_F) ... 1.9 states/eV/f.u.
Size of the total moment ... 0.000 μB per cell
V ... 20.1 Å³ per atom
Formation energy from the elements ... -0.109 eV/atom

***

13.
The following is a meta-GGA SCAN calculation of a PBEsol-optimized structure of Al2Pd2Au, from the Alexandria database.

a = 7.2506 Å, b = 7.2506 Å, c = 2.8493 Å
α = 90.00°, β = 90.00°, γ = 90.00°
Closest atoms and distances in Å follow each position.
Space group P4/mbm (No. 127)
Unique sites:
Al: 0.1601 0.3399 0.0000 x4  6 Pd 2.52-2.59
Pd: 0.1375 0.6375 0.5000 x4  6 Al 2.52-2.59, 2 Au 2.81
Au: 0.0000 0.0000 0.5000 x2  4 Pd 2.81, 2 Au 2.85, 8 Al 3.07

Computed properties:
Uncorrected energy ... -308.34 eV for the cell shown
D(E_F) ... 1.6 states/eV/f.u.
Size of the total moment ... 0.001 μB per cell
V ... 15.0 Å³ per atom
Formation energy from the elements ... -0.792 eV/atom

***

14.
The following is a meta-GGA SCAN calculation of a PBEsol-optimized structure of SrAlPd2Au, from the Alexandria database.

a = 5.1123 Å, b = 5.1123 Å, c = 4.5835 Å
α = 90.00°, β = 90.00°, γ = 90.00°
Closest atoms and distances in Å follow each position.
Space group P4/mmm (No. 123)
Unique sites:
Sr: 0.0000 0.0000 0.0000 x1  8 Pd 3.43, 4 Al 3.61
Al: 0.5000 0.5000 0.0000 x1  2 Au 2.29
Pd: 0.0000 0.5000 0.5000 x2  2 Au 2.56
Au: 0.5000 0.5000 0.5000 x1  2 Al 2.29, 4 Pd 2.56

Computed properties:
Uncorrected energy ... -165.38 eV for the cell shown
D(E_F) ... 2.7 states/eV/f.u.
Size of the total moment ... 0.000 μB per cell
V ... 24.0 Å³ per atom
Formation energy from the elements ... -0.129 eV/atom